# Rb2UBiSe6 | Alexandria via LeMat-Bulk | PBE | optimized geometry
# * VASP energy: -92.293 eV for the cell shown
# * energy relative to the elements, uncorrected: -813 meV/atom
# * magnetization: 0.000 μB/cell
data_Rb2UBiSe6
_space_group_name_H-M_alt 'P m m n'
_space_group_IT_number 59
_cell_length_a 7.853
_cell_length_b 11.101
_cell_length_c 7.848
_cell_angle_alpha 90.00
_cell_angle_beta 90.00
_cell_angle_gamma 90.00
loop_
_space_group_symop_operation_xyz
'x,y,z'
'-x,-y,-z'
'-x+1/2,-y+1/2,z'
'x+1/2,y+1/2,-z'
'x+1/2,-y,-z'
'-x+1/2,y,z'
'-x,y+1/2,-z'
'x,-y+1/2,z'
loop_
_atom_site_label
_atom_site_type_symbol
_atom_site_fract_x
_atom_site_fract_y
_atom_site_fract_z
Rb1 Rb 0.250 0.000 0.249
U1 U 0.250 0.250 0.750
Bi1 Bi 0.250 0.750 0.750
Se1 Se 0.009 0.250 0.510
Se2 Se 0.010 0.250 0.990
Se3 Se 0.250 0.010 0.749

***

# PtPbI2Br | Alexandria via LeMat-Bulk | PBE | optimized geometry
# * VASP energy: -14.861 eV for the cell shown
# * energy relative to the elements, uncorrected: -68 meV/atom
# * magnetization: 0.000 μB/cell
data_PtPbI2Br
_space_group_name_H-M_alt 'P 4/m m m'
_space_group_IT_number 123
_space_group_name_Hall '-P 4 2'
_cell_length_a 5.364
_cell_length_b 5.364
_cell_length_c 5.881
_cell_angle_alpha 90.00
_cell_angle_beta 90.00
_cell_angle_gamma 90.00
loop_
_atom_site_label
_atom_site_type_symbol
_atom_site_fract_x
_atom_site_fract_y
_atom_site_fract_z
Pt1 Pt 0.000 0.000 0.000
Pb1 Pb 0.000 0.000 0.500
I1 I 0.000 0.500 0.000
Br1 Br 0.500 0.500 0.500

***

# Ce2Dy5Ru4 | Alexandria via LeMat-Bulk | PBE | optimized geometry
# * VASP energy: -146.523 eV for the cell shown
# * calculated formation energy: -1.280 eV per formula unit
# * magnetization: 0.015 μB/cell
data_Ce2Dy5Ru4
_space_group_name_H-M_alt 'C 1 2/m 1'
_space_group_IT_number 12
_cell_length_a 32.295
_cell_length_b 3.411
_cell_length_c 5.101
_cell_angle_alpha 90.00
_cell_angle_beta 98.72
_cell_angle_gamma 90.00
loop_
_space_group_symop_operation_xyz
'x,y,z'
'-x,-y,-z'
'-x,y,-z'
'x,-y,z'
'x+1/2,y+1/2,z'
'-x+1/2,-y+1/2,-z'
'-x+1/2,y+1/2,-z'
'x+1/2,-y+1/2,z'
loop_
_atom_site_label
_atom_site_type_symbol
_atom_site_fract_x
_atom_site_fract_y
_atom_site_fract_z
Ce1 Ce 0.084 0.000 0.100
Dy1 Dy 0.000 0.500 0.500
Dy2 Dy 0.159 0.000 0.663
Dy3 Dy 0.228 0.000 0.229
Ru1 Ru 0.072 0.000 0.558
Ru2 Ru 0.159 0.500 0.161

***

Which formula does entry 3 have?
Ce2Dy5Ru4

***

The lowest VASP energy belongs to which entry?
Ce2Dy5Ru4

***

Copy entry 1 word for word.
# Rb2UBiSe6 | Alexandria via LeMat-Bulk | PBE | optimized geometry
# * VASP energy: -92.293 eV for the cell shown
# * energy relative to the elements, uncorrected: -813 meV/atom
# * magnetization: 0.000 μB/cell
data_Rb2UBiSe6
_space_group_name_H-M_alt 'P m m n'
_space_group_IT_number 59
_cell_length_a 7.853
_cell_length_b 11.101
_cell_length_c 7.848
_cell_angle_alpha 90.00
_cell_angle_beta 90.00
_cell_angle_gamma 90.00
loop_
_space_group_symop_operation_xyz
'x,y,z'
'-x,-y,-z'
'-x+1/2,-y+1/2,z'
'x+1/2,y+1/2,-z'
'x+1/2,-y,-z'
'-x+1/2,y,z'
'-x,y+1/2,-z'
'x,-y+1/2,z'
loop_
_atom_site_label
_atom_site_type_symbol
_atom_site_fract_x
_atom_site_fract_y
_atom_site_fract_z
Rb1 Rb 0.250 0.000 0.249
U1 U 0.250 0.250 0.750
Bi1 Bi 0.250 0.750 0.750
Se1 Se 0.009 0.250 0.510
Se2 Se 0.010 0.250 0.990
Se3 Se 0.250 0.010 0.749